(1)
Entry from the Alexandria database: a geometry-optimized Ti6SnPd structure (GGA-PBE).

Its excess energy over the best structure of this formula in the dataset is 19.1 kJ/mol of atoms. The energy of formation from the pure elements comes out at -0.034 eV/atom.

Cell lengths 6.139, 6.139, 5.339 Å; angles 115.66, 115.66, 102.30 degrees
Atoms (fractional coordinates):
Ti 0.737 0.262 0.248
Ti 0.738 0.263 0.752
Ti 0.262 0.737 0.248
Ti 0.263 0.738 0.752
Ti 0.747 0.747 0.247
Ti 0.253 0.253 0.753
Pd 0.500 0.500 0.500
Sn 0.000 0.000 0.000

***

(2)
Entry from the Alexandria database: a geometry-optimized Np2SnAu structure (GGA-PBE).

The energy of formation from the pure elements comes out at 0.023 eV/atom.

Cell lengths 2.960, 5.740, 5.740 Å; angles 90.00, 90.00, 90.00 degrees
Last column: magnetic moment on the atom in μB.
Atoms (fractional coordinates):
Sn 0.500 0.500 0.500  -0.09
Np 0.000 0.500 0.000  4.34
Np 0.000 0.000 0.500  4.34
Au 0.500 0.000 0.000  0.10

***

(3)
Entry from the Alexandria database: a geometry-optimized LaTm2Th structure (GGA-PBE).

Its excess energy over the best structure of this formula in the dataset is 2.1 kJ/mol of atoms. The energy of formation from the pure elements comes out at 0.032 eV/atom.

Cell lengths 3.610, 6.106, 6.106 Å; angles 107.26, 90.00, 90.00 degrees
Atoms (fractional coordinates):
La 0.500 0.500 0.500
Th 0.500 0.000 0.000
Tm 0.000 0.500 0.000
Tm 0.000 0.000 0.500

***

(4)
Entry from the Alexandria database: a geometry-optimized Cd2CuRh structure (GGA-PBE).

The energy of formation from the pure elements comes out at -0.028 eV/atom.

Cell lengths 5.226, 5.226, 4.676 Å; angles 70.48, 70.48, 34.38 degrees
Atoms (fractional coordinates):
Rh 0.233 0.233 0.225
Cu 0.516 0.516 0.525
Cd 0.987 0.987 0.047
Cd 0.764 0.764 0.703

***

(5)
Entry from the Alexandria database: a geometry-optimized Rb4Pa3NiTe8 structure (GGA-PBE).

The value obtained for the formation energy (no corrections) is -0.774 eV/atom.

Cell lengths 8.841, 10.039, 8.855 Å; angles 116.22, 119.95, 90.00 degrees
Last column: magnetic moment on the atom in μB.
Atoms (fractional coordinates):
Rb 0.500 0.000 0.500  0.00
Rb 0.000 0.000 0.500  0.00
Rb 0.500 0.000 0.000  0.00
Rb 0.000 0.000 0.000  0.00
Te 0.777 0.308 0.555  -0.01
Te 0.736 0.708 0.472  -0.03
Te 0.264 0.292 0.528  -0.03
Te 0.252 0.309 0.031  -0.01
Te 0.223 0.692 0.445  -0.01
Te 0.779 0.309 0.031  -0.01
Te 0.748 0.691 0.969  -0.01
Te 0.221 0.691 0.969  -0.01
Pa 0.000 0.500 0.500  1.15
Pa 0.500 0.500 0.500  1.15
Pa 0.500 0.500 0.000  1.15
Ni 0.000 0.500 0.000  0.67

***

(6)
Entry from the Alexandria database: a geometry-optimized K3TaGa structure (GGA-PBE).

Its excess energy over the best structure of this formula in the dataset is 5.7 kJ/mol of atoms. The energy of formation from the pure elements comes out at 1.533 eV/atom.

Cell lengths 6.668, 6.668, 6.668 Å; angles 90.00, 90.00, 90.00 degrees
Last column: magnetic moment on the atom in μB.
Atoms (fractional coordinates):
Ga 0.500 0.500 0.500  0.07
Ta 0.000 0.000 0.000  2.51
K 0.500 0.000 0.000  0.05
K 0.000 0.500 0.000  0.05
K 0.000 0.000 0.500  0.05

***

(7)
Entry from the Alexandria database: a geometry-optimized Pa2AlCu3Ni12 structure (GGA-PBE).

The energy of formation from the pure elements comes out at 0.204 eV/atom.

Cell lengths 7.276, 7.276, 7.276 Å; angles 60.47, 60.47, 60.47 degrees
Atoms (fractional coordinates):
Pa 0.382 0.382 0.382
Pa 0.618 0.618 0.618
Ni 0.613 0.613 0.133
Ni 0.856 0.394 0.856
Ni 0.613 0.133 0.613
Ni 0.144 0.144 0.606
Ni 0.387 0.387 0.867
Ni 0.133 0.613 0.613
Ni 0.387 0.867 0.387
Ni 0.144 0.606 0.144
Ni 0.867 0.387 0.387
Ni 0.856 0.856 0.394
Ni 0.606 0.144 0.144
Ni 0.394 0.856 0.856
Al 0.000 0.000 0.000
Cu 0.000 0.000 0.500
Cu 0.500 0.000 0.000
Cu 0.000 0.500 0.000

***

(8)
Entry from the Alexandria database: a geometry-optimized Tb2Ni3Ru structure (GGA-PBE).

The energy of formation from the pure elements comes out at -0.389 eV/atom.

Cell lengths 5.085, 5.085, 5.221 Å; angles 89.89, 119.19, 120.09 degrees
Atoms (fractional coordinates):
Ni 0.500 0.000 0.500
Ni 0.500 0.500 0.500
Ni 0.000 0.000 0.500
Ru 0.000 0.000 0.000
Tb 0.751 0.376 0.127
Tb 0.249 0.624 0.873

***

Number 1: volume 17.8 Å³ per atom. Number 2: volume 24.4 Å³ per atom. Number 3: volume 32.1 Å³ per atom. Number 4: volume 16.9 Å³ per atom. Number 5: volume 36.6 Å³ per atom. Number 6: volume 59.3 Å³ per atom. Number 7: volume 15.3 Å³ per atom. Number 8: volume 16.1 Å³ per atom.